(1)
Material: ScGa7Co5
Method: DFT, GGA-PBE
State: relaxed

calculated total energy = -5.184 eV per atom
energy of formation = -334 meV per atom
crystal system = orthorhombic
space group = No. 44

Lattice parameters (Å, degrees): 6.4493 6.4493 6.4493 133.68 98.12 99.67
With the nearest neighbours (Å) after each atom.
Positions (direct):
1 Sc 0.0000 0.0000 0.0000  8 Ga 2.72-3.02
2 Ga 0.2044 0.5097 0.6947  5 Co 2.42-2.54, 1 Ga 2.62
3 Ga 0.3137 0.9781 0.3356  5 Co 2.46-2.63, 1 Ga 2.76
4 Ga 0.3267 0.3267 0.0000  6 Co 2.58-2.66, 1 Sc 2.72, 1 Ga 2.76
5 Ga 0.6425 0.9781 0.6644  5 Co 2.46-2.63, 1 Ga 2.76
6 Ga 0.6584 0.6584 0.0000  4 Co 2.55, 3 Ga 2.68-2.76, 1 Sc 2.84
7 Ga 0.7642 0.2642 0.5000  4 Co 2.39, 2 Ga 2.62
8 Ga 0.8150 0.5097 0.3053  5 Co 2.42-2.54, 1 Ga 2.62
9 Co 0.2309 0.7309 0.5000  6 Ga 2.47-2.66, 4 Co 2.54
10 Co 0.5032 0.0052 0.0161  7 Ga 2.39-2.63, 3 Co 2.44-2.63
11 Co 0.5032 0.4871 0.4979  7 Ga 2.39-2.63, 3 Co 2.44-2.63
12 Co 0.9891 0.0052 0.5021  7 Ga 2.39-2.63, 3 Co 2.44-2.63
13 Co 0.9891 0.4871 0.9839  7 Ga 2.39-2.63, 3 Co 2.44-2.63

---

(2)
Material: Mg2ZnPd
Method: DFT, GGA-PBE
State: relaxed

calculated total energy = -2.535 eV per atom
energy of formation = -121 meV per atom
crystal system = tetragonal
space group = No. 122

Lattice parameters (Å, degrees): 5.8793 5.8793 5.8793 102.81 102.81 123.83
With the nearest neighbours (Å) after each atom.
Positions (direct):
1 Mg 0.1089 0.6250 0.9839  2 Pd 2.60, 2 Zn 2.77, 2 Mg 2.78
2 Mg 0.3750 0.3589 0.4839  2 Pd 2.60, 2 Zn 2.77, 2 Mg 2.78
3 Mg 0.6411 0.1250 0.0161  2 Pd 2.60, 2 Zn 2.77, 2 Mg 2.78
4 Mg 0.8750 0.8911 0.5161  2 Pd 2.60, 2 Zn 2.77, 2 Mg 2.78
5 Zn 0.2500 0.7500 0.5000  4 Mg 2.77, 2 Pd 2.77
6 Zn 0.5000 0.5000 0.0000  4 Mg 2.77, 2 Pd 2.77
7 Pd 0.0000 0.0000 0.0000  4 Mg 2.60, 2 Zn 2.77
8 Pd 0.7500 0.2500 0.5000  4 Mg 2.60, 2 Zn 2.77

---

(3)
Material: BaLa2TiTl
Method: DFT, GGA-PBE
State: relaxed

calculated total energy = -4.232 eV per atom
energy of formation = 176 meV per atom
crystal system = tetragonal
space group = No. 123

Lattice parameters (Å, degrees): 5.5652 5.5652 5.6799 90.00 90.00 90.00
With the nearest neighbours (Å) after each atom.
Positions (direct):
1 Ba 0.0000 0.0000 0.0000  4 Tl 3.94, 8 La 3.98
2 La 0.0000 0.5000 0.5000  2 Ti 2.78
3 La 0.5000 0.0000 0.5000  2 Ti 2.78
4 Ti 0.5000 0.5000 0.5000  4 La 2.78, 2 Tl 2.84
5 Tl 0.5000 0.5000 0.0000  2 Ti 2.84

---

(4)
Material: TaSiSe2
Method: DFT, GGA-PBE
State: relaxed

calculated total energy = -6.254 eV per atom
formation energy (no corrections) = -0.19 eV/atom
crystal system = orthorhombic
space group = No. 71

Lattice parameters (Å, degrees): 7.2435 7.2435 7.2435 150.64 150.24 42.30
With the nearest neighbours (Å) after each atom.
Positions (direct):
1 Ta 0.0000 0.0000 0.0000  4 Si 2.61, 4 Se 2.69
2 Si 0.5000 0.5000 0.0000  4 Ta 2.61, 4 Se 2.67
3 Se 0.3566 0.8566 0.5000  2 Si 2.67, 2 Ta 2.69
4 Se 0.6434 0.1434 0.5000  2 Si 2.67, 2 Ta 2.69

---

Number 4 is which compound?
TaSiSe2